Record 1
A relaxed Ce5NdSe6 crystal. Source: Alexandria, functional PBE.

Unit cell a=7.2875 b=7.2875 c=7.2850 alpha=99.60 beta=99.60 gamma=120.05
Closest atoms and distances in Å follow each position.
Element x y z (fractional)
Se 0.7490 0.7490 0.2505  5 Ce 2.97, 1 Nd 2.98
Se 0.2510 0.2510 0.7495  5 Ce 2.97, 1 Nd 2.98
Se 0.5818 0.9165 0.7493  5 Ce 2.97-2.98, 1 Nd 2.98
Se 0.4182 0.0835 0.2507  5 Ce 2.97-2.98, 1 Nd 2.98
Se 0.0835 0.4182 0.2507  5 Ce 2.97-2.98, 1 Nd 2.98
Se 0.9165 0.5818 0.7493  5 Ce 2.97-2.98, 1 Nd 2.98
Ce 0.5000 0.5000 0.5000  6 Se 2.97-2.98
Ce 0.1659 0.8341 0.5000  6 Se 2.97-2.98
Ce 0.6665 0.3335 0.0000  6 Se 2.97
Ce 0.8341 0.1659 0.5000  6 Se 2.97-2.98
Ce 0.3335 0.6665 0.0000  6 Se 2.97
Nd 0.0000 0.0000 0.0000  6 Se 2.98

Values from the calculation:
Space group: C2/m (12)

Record 2
A relaxed Ce2Nd3Se6 crystal. Source: Alexandria, functional PBE.

Unit cell a=7.2826 b=7.2783 c=7.3026 alpha=80.43 beta=70.59 gamma=59.98
Closest atoms and distances in Å follow each position.
Element x y z (fractional)
Nd 0.3359 0.3282 0.0000  6 Se 2.97-3.01
Nd 0.6641 0.6718 0.0000  6 Se 2.97-3.01
Nd 0.0000 0.0000 0.0000  6 Se 2.98-3.02
Ce 0.8338 0.3324 0.5000  6 Se 2.95-2.97
Ce 0.1662 0.6676 0.5000  6 Se 2.95-2.97
Se 0.5826 0.3323 0.2527  2 Ce 2.97, 3 Nd 2.98-3.01
Se 0.4174 0.6677 0.7473  2 Ce 2.97, 3 Nd 2.98-3.01
Se 0.9148 0.6677 0.2527  2 Ce 2.97, 3 Nd 2.98-3.01
Se 0.2503 0.0000 0.2566  2 Ce 2.95, 3 Nd 2.97-3.02
Se 0.7497 0.0000 0.7434  2 Ce 2.95, 3 Nd 2.97-3.02
Se 0.0852 0.3323 0.7473  2 Ce 2.97, 3 Nd 2.98-3.01

Values from the calculation:
Space group: C2/m (12)

Record 3
A relaxed Ce3Nd5Se8 crystal. Source: Alexandria, functional PBE.

Unit cell a=8.4318 b=8.4318 c=8.4513 alpha=60.08 beta=60.08 gamma=60.00
Closest atoms and distances in Å follow each position.
Element x y z (fractional)
Se 0.7507 0.7507 0.7478  3 Ce 2.98, 3 Nd 2.99
Se 0.2500 0.7518 0.7483  2 Ce 2.97, 4 Nd 2.98-3.00
Se 0.7500 0.7500 0.2517  2 Ce 2.97, 4 Nd 2.98-3.00
Se 0.7500 0.2482 0.2517  2 Ce 2.97, 4 Nd 2.98-3.00
Se 0.2482 0.7500 0.2517  2 Ce 2.97, 4 Nd 2.98-3.00
Se 0.2500 0.2500 0.7483  2 Ce 2.97, 4 Nd 2.98-3.00
Se 0.2493 0.2493 0.2522  3 Ce 2.98, 3 Nd 2.99
Se 0.7518 0.2500 0.7483  2 Ce 2.97, 4 Nd 2.98-3.00
Nd 0.5000 0.0000 0.0000  6 Se 2.99-3.00
Nd 0.5000 0.5000 0.5000  6 Se 2.99
Nd 0.0000 0.0000 0.0000  6 Se 2.98
Nd 0.5000 0.5000 0.0000  6 Se 2.99-3.00
Nd 0.0000 0.5000 0.0000  6 Se 2.99-3.00
Ce 0.0000 0.0000 0.5000  6 Se 2.97-2.98
Ce 0.0000 0.5000 0.5000  6 Se 2.97-2.98
Ce 0.5000 0.0000 0.5000  6 Se 2.97-2.98

Values from the calculation:
Space group: R-3m (166)

Record 4
A relaxed CeNd5Se6 crystal. Source: Alexandria, functional PBE.

Unit cell a=7.3183 b=7.3183 c=7.3290 alpha=99.58 beta=99.58 gamma=120.09
Closest atoms and distances in Å follow each position.
Element x y z (fractional)
Se 0.9169 0.5868 0.7517  1 Ce 2.96, 5 Nd 2.98-2.99
Se 0.5868 0.9169 0.7517  1 Ce 2.96, 5 Nd 2.98-2.99
Se 0.7525 0.7525 0.2505  1 Ce 2.98, 5 Nd 3.00-3.01
Se 0.2475 0.2475 0.7495  1 Ce 2.98, 5 Nd 3.00-3.01
Se 0.0831 0.4132 0.2483  1 Ce 2.96, 5 Nd 2.98-2.99
Se 0.4132 0.0831 0.2483  1 Ce 2.96, 5 Nd 2.98-2.99
Nd 0.5000 0.5000 0.5000  6 Se 2.98-3.00
Nd 0.1703 0.8297 0.5000  6 Se 2.98-3.01
Nd 0.3324 0.6676 0.0000  6 Se 2.98-3.01
Nd 0.8297 0.1703 0.5000  6 Se 2.98-3.01
Nd 0.6676 0.3324 0.0000  6 Se 2.98-3.01
Ce 0.0000 0.0000 0.0000  6 Se 2.96-2.98

Values from the calculation:
Space group: C2/m (12)

Record 5
A relaxed CeNd3Se6 crystal. Source: Alexandria, functional PBE.

Unit cell a=7.3288 b=7.7677 c=7.7677 alpha=61.06 beta=61.68 gamma=61.68
Closest atoms and distances in Å follow each position.
Element x y z (fractional)
Ce 0.5000 0.5000 0.5000  6 Se 2.88-3.04
Nd 0.3113 0.2498 0.2498  5 Se 2.89-2.99
Nd 0.0000 0.0000 0.0000  6 Se 2.88-3.06
Nd 0.6887 0.7502 0.7502  5 Se 2.89-2.99
Se 0.6582 0.8412 0.3422  1 Ce 2.88, 3 Nd 2.88-2.99
Se 0.3418 0.6578 0.1588  1 Ce 2.88, 3 Nd 2.88-2.99
Se 0.3418 0.1588 0.6578  1 Ce 2.88, 3 Nd 2.88-2.99
Se 0.9171 0.2502 0.2502  2 Nd 2.89-3.06, 1 Ce 3.04
Se 0.0829 0.7498 0.7498  2 Nd 2.89-3.06, 1 Ce 3.04
Se 0.6582 0.3422 0.8412  1 Ce 2.88, 3 Nd 2.88-2.99

Values from the calculation:
Space group: C2/m (12)
Offset from the most stable computed form (eV/atom): 0.149

Record 6
A relaxed CeNd4Se5 crystal. Source: Alexandria, functional PBE.

Unit cell a=4.2239 b=4.2239 c=15.2498 alpha=97.96 beta=97.96 gamma=90.00
Closest atoms and distances in Å follow each position.
Element x y z (fractional)
Se 0.0987 0.0987 0.1973  5 Nd 2.95-2.99, 1 Ce 2.95
Se 0.7015 0.7015 0.4030  6 Nd 2.99-3.03
Se 0.5000 0.5000 0.0000  4 Ce 2.99, 2 Nd 3.01
Se 0.2985 0.2985 0.5970  6 Nd 2.99-3.03
Se 0.9013 0.9013 0.8027  5 Nd 2.95-2.99, 1 Ce 2.95
Ce 0.0000 0.0000 0.0000  6 Se 2.95-2.99
Nd 0.3993 0.3993 0.7987  6 Se 2.99-3.02
Nd 0.8027 0.8027 0.6054  6 Se 2.95-3.03
Nd 0.6007 0.6007 0.2013  6 Se 2.99-3.02
Nd 0.1973 0.1973 0.3946  6 Se 2.95-3.03

Values from the calculation:
Space group: I4/mmm (139)

Record 7
A relaxed CeNd4Se6 crystal. Source: Alexandria, functional PBE.

Unit cell a=4.1548 b=7.2528 c=21.3016 alpha=90.00 beta=90.00 gamma=106.64
Closest atoms and distances in Å follow each position.
Element x y z (fractional)
Se 0.2309 0.4617 0.9081  5 Nd 2.95-3.07
Se 0.9482 0.8964 0.6685  3 Nd 2.98-3.01, 2 Ce 3.07
Se 0.5000 0.0000 0.0000  6 Nd 2.98-3.00
Se 0.5000 0.0000 0.5000  6 Nd 2.98-3.00
Se 0.7691 0.5383 0.4081  5 Nd 2.95-3.07
Se 0.6906 0.3811 0.7500  2 Nd 2.96, 2 Ce 2.97
Se 0.7691 0.5383 0.0919  5 Nd 2.95-3.07
Se 0.0518 0.1036 0.3315  3 Nd 2.98-3.01, 2 Ce 3.07
Se 0.9482 0.8964 0.8315  3 Nd 2.98-3.01, 2 Ce 3.07
Se 0.0518 0.1036 0.1685  3 Nd 2.98-3.01, 2 Ce 3.07
Se 0.3094 0.6189 0.2500  2 Nd 2.96, 2 Ce 2.97
Se 0.2309 0.4617 0.5919  5 Nd 2.95-3.07
Nd 0.5891 0.1782 0.8719  6 Se 2.96-3.00
Nd 0.5891 0.1782 0.6281  6 Se 2.96-3.00
Nd 0.8590 0.7179 0.9602  6 Se 2.95-3.07
Nd 0.1410 0.2821 0.0398  6 Se 2.95-3.07
Nd 0.4109 0.8218 0.1281  6 Se 2.96-3.00
Nd 0.1410 0.2821 0.4602  6 Se 2.95-3.07
Nd 0.8590 0.7179 0.5398  6 Se 2.95-3.07
Nd 0.4109 0.8218 0.3719  6 Se 2.96-3.00
Ce 0.3435 0.6869 0.7500  6 Se 2.97-3.07
Ce 0.6565 0.3131 0.2500  6 Se 2.97-3.07

Values from the calculation:
Space group: Cmcm (63)

Record 8
A relaxed CeNdSe crystal. Source: Alexandria, functional PBE.

Unit cell a=4.1678 b=8.3245 c=8.8196 alpha=89.63 beta=90.00 gamma=90.00
Closest atoms and distances in Å follow each position.
Element x y z (fractional)
Nd 0.7500 0.3747 0.6363  5 Se 3.04-3.15
Nd 0.7500 0.8747 0.6363  5 Se 3.04-3.15
Nd 0.2500 0.6253 0.3637  5 Se 3.04-3.15
Nd 0.2500 0.1253 0.3637  5 Se 3.04-3.15
Ce 0.7501 0.1317 0.0007  4 Ce 2.87-3.03, 1 Se 3.20
Ce 0.7499 0.6317 0.0007  4 Ce 2.87-3.03, 1 Se 3.20
Ce 0.2499 0.8683 0.9993  4 Ce 2.87-3.03, 1 Se 3.20
Ce 0.2501 0.3683 0.9993  4 Ce 2.87-3.03, 1 Se 3.20
Se 0.2500 0.1238 0.7207  5 Nd 3.04-3.15, 4 Ce 3.20-3.24
Se 0.2500 0.6238 0.7207  5 Nd 3.04-3.15, 4 Ce 3.20-3.24
Se 0.7500 0.8762 0.2793  5 Nd 3.04-3.15, 4 Ce 3.20-3.24
Se 0.7500 0.3762 0.2793  5 Nd 3.04-3.15, 4 Ce 3.20-3.24

Values from the calculation:
Space group: P2_1/m (11)

Record 9
A relaxed Ce3Nd2Se8 crystal. Source: Alexandria, functional PBE.

Unit cell a=7.1806 b=8.4805 c=8.5641 alpha=119.68 beta=107.29 gamma=90.00
Closest atoms and distances in Å follow each position.
Element x y z (fractional)
Se 0.5867 0.6431 0.7496  2 Ce 2.92-2.93, 2 Nd 3.01-3.02
Se 0.4133 0.8935 0.2504  2 Ce 2.92-2.93, 2 Nd 3.01-3.02
Se 0.0747 0.8839 0.7678  3 Ce 2.95-2.97, 1 Nd 3.03
Se 0.9253 0.1161 0.2322  3 Ce 2.95-2.97, 1 Nd 3.03
Se 0.9022 0.6127 0.2255  2 Ce 2.87, 1 Nd 2.93
Se 0.4133 0.3569 0.2504  2 Ce 2.92-2.93, 2 Nd 3.01-3.02
Se 0.0978 0.3873 0.7745  2 Ce 2.87, 1 Nd 2.93
Se 0.5867 0.1065 0.7496  2 Ce 2.92-2.93, 2 Nd 3.01-3.02
Ce 0.0000 0.2609 0.0000  6 Se 2.87-2.97
Ce 0.5000 0.0000 0.0000  6 Se 2.92-2.95
Ce 0.0000 0.7391 0.0000  6 Se 2.87-2.97
Nd 0.6605 0.7363 0.4725  6 Se 2.93-3.03
Nd 0.3395 0.2637 0.5275  6 Se 2.93-3.03

Values from the calculation:
Space group: C2/m (12)
Offset from the most stable computed form (eV/atom): 0.000

Record 10
A relaxed Ce3NdSe4 crystal. Source: Alexandria, functional PBE.

Unit cell a=5.9512 b=5.9512 c=5.9512 alpha=90.00 beta=90.00 gamma=90.00
Closest atoms and distances in Å follow each position.
Element x y z (fractional)
Se 0.5000 0.5000 0.5000  6 Ce 2.98
Se 0.0000 0.5000 0.0000  4 Ce 2.98, 2 Nd 2.98
Se 0.5000 0.0000 0.0000  4 Ce 2.98, 2 Nd 2.98
Se 0.0000 0.0000 0.5000  4 Ce 2.98, 2 Nd 2.98
Ce 0.0000 0.5000 0.5000  6 Se 2.98
Ce 0.5000 0.5000 0.0000  6 Se 2.98
Ce 0.5000 0.0000 0.5000  6 Se 2.98
Nd 0.0000 0.0000 0.0000  6 Se 2.98

Values from the calculation:
Space group: Pm-3m (221)
Offset from the most stable computed form (eV/atom): 0.003

Record 11
A relaxed CeNdSiSe crystal. Source: Alexandria, functional PBE.

Unit cell a=4.2296 b=4.2296 c=7.3671 alpha=73.32 beta=73.32 gamma=60.00
Closest atoms and distances in Å follow each position.
Element x y z (fractional)
Nd 0.6970 0.6970 0.9090  3 Si 2.99, 3 Se 3.05
Se 0.9424 0.9424 0.1728  3 Ce 3.02, 3 Nd 3.05
Ce 0.1905 0.1905 0.4285  3 Si 2.93, 3 Se 3.02
Si 0.4466 0.4466 0.6603  3 Ce 2.93, 3 Nd 2.99

Values from the calculation:
Space group: R3m (160)

Record 12
A relaxed CeNdSm2Se4 crystal. Source: Alexandria, functional PBE.

Unit cell a=4.1697 b=7.2905 c=7.2707 alpha=70.85 beta=90.00 gamma=90.00
Closest atoms and distances in Å follow each position.
Element x y z (fractional)
Se 0.5000 0.2459 0.7527  3 Sm 2.95-2.96, 1 Ce 2.97, 2 Nd 2.99
Se 0.0000 0.7535 0.7499  3 Sm 2.95-2.96, 2 Ce 2.98, 1 Nd 2.99
Se 0.0000 0.2465 0.2501  3 Sm 2.95-2.96, 2 Ce 2.98, 1 Nd 2.99
Se 0.5000 0.7541 0.2473  3 Sm 2.95-2.96, 1 Ce 2.97, 2 Nd 2.99
Sm 0.5000 0.0000 0.5000  6 Se 2.96
Sm 0.0000 0.0000 0.0000  6 Se 2.95
Nd 0.0000 0.5000 0.5000  6 Se 2.99
Ce 0.5000 0.5000 0.0000  6 Se 2.97-2.98

Values from the calculation:
Space group: P2/m (10)

Number 1: DOS at the Fermi energy 30.6 states/eV/f.u., ΔE_f (raw) -1.83 eV/atom. Number 2: DOS at the Fermi energy 16.0 states/eV/f.u., ΔE_f (raw) -1.86 eV/atom. Number 3: DOS at the Fermi energy 22.0 states/eV/f.u., ΔE_f (raw) -1.84 eV/atom. Number 4: DOS at the Fermi energy 10.8 states/eV/f.u., ΔE_f (raw) -1.84 eV/atom. Number 5: DOS at the Fermi energy 5.4 states/eV/f.u., ΔE_f (raw) -1.70 eV/atom. Number 6: DOS at the Fermi energy 9.2 states/eV/f.u., ΔE_f (raw) -1.84 eV/atom. Number 7: DOS at the Fermi energy 9.4 states/eV/f.u., ΔE_f (raw) -1.85 eV/atom. Number 8: DOS at the Fermi energy 4.5 states/eV/f.u., ΔE_f (raw) -1.10 eV/atom. Number 9: DOS at the Fermi energy 13.5 states/eV/f.u., ΔE_f (raw) -1.74 eV/atom. Number 10: DOS at the Fermi energy 19.7 states/eV/f.u., ΔE_f (raw) -1.83 eV/atom. Number 11: DOS at the Fermi energy 5.5 states/eV/f.u., ΔE_f (raw) -1.26 eV/atom. Number 12: DOS at the Fermi energy 9.1 states/eV/f.u., ΔE_f (raw) -1.83 eV/atom.